Entry 1:
Below is a geometry-optimized LaTaPt structure, with properties calculated at the PBE level.

Unit cell a=4.3998 b=4.3998 c=4.5700 alpha=90.00 beta=90.00 gamma=120.00
Positions (direct):
Pt  0.6667  0.3333  0.5002
La  0.0000  0.0000  0.9999
Ta  0.3333  0.6667  0.4998

Energy relative to the lowest polymorph listed for this composition in eV/atom: 0.000
DFT formation energy in eV/atom: -0.3703


Entry 2:
Below is a geometry-optimized La4TaPt structure, with properties calculated at the PBE level.

Unit cell a=6.1917 b=6.1917 c=6.1917 alpha=60.00 beta=60.00 gamma=60.00
Last column: magnetic moment on the atom in μB.
Positions (direct):
Ta  0.0000  0.0000  0.0000  1.09
La  0.3750  0.8749  0.3750  -0.06
Pt  0.7500  0.7500  0.7500  0.05
La  0.8749  0.3750  0.3750  -0.06
La  0.3750  0.3750  0.8749  -0.06
La  0.3750  0.3750  0.3750  -0.06

DFT formation energy in eV/atom: 0.7383


Entry 3:
Below is a geometry-optimized LaTa3Pt structure, with properties calculated at the PBE level.

Unit cell a=4.8142 b=4.8142 c=4.8142 alpha=90.00 beta=90.00 gamma=90.00
Positions (direct):
Pt  0.5000  0.5000  0.5000
La  0.0000  0.0000  0.0000
Ta  0.0000  0.5000  0.0000
Ta  0.5000  0.0000  0.0000
Ta  0.0000  0.0000  0.5000

Energy relative to the lowest polymorph listed for this composition in eV/atom: 1.356
DFT formation energy in eV/atom: 2.1902


Entry 4:
Below is a geometry-optimized LaY2TaPt structure, with properties calculated at the PBE level.

Unit cell a=5.4277 b=4.9559 c=5.4277 alpha=90.00 beta=90.00 gamma=90.00
Positions (direct):
Y  0.5000  0.0000  0.0000
La  0.0000  0.0000  0.0000
Y  0.0000  0.0000  0.5000
Pt  0.0000  0.5000  0.0000
Ta  0.5000  0.5000  0.5000

DFT formation energy in eV/atom: 1.3735


Q: What is the DFT formation energy in the first record?
A: -0.3703 eV/atom


Q: DFT formation energy of number 4 (LaY2TaPt)?
A: 1.3735 eV/atom